# KLi2Zn

A relaxed structure of KLi2Zn (PBE, the Alexandria database).

Structure (POSCAR):
```
KLi2Zn
1.0
3.647 0.000 0.000
0.000 3.647 0.000
0.000 0.000 8.293
K Li Zn
1 2 1
direct
0.000 0.000 0.000
0.000 0.000 0.575
0.500 0.500 0.371
0.500 0.500 0.692
```

Properties
SG = P4mm (99)
E_form = 0.08 eV per atom
magnetization = 0.00 μB per formula unit
calculated total energy = -1.4681 eV per atom


# YCo2Se

A relaxed structure of YCo2Se (PBE, the Alexandria database).

Structure (POSCAR):
```
YCo2Se
1.0
3.492 0.000 0.000
0.000 3.492 0.000
0.000 0.000 5.604
Y Co Se
1 2 1
direct
0.000 0.000 0.000
0.500 0.500 0.282
0.500 0.500 0.718
0.000 0.000 0.500
```

Properties
SG = P4/mmm (123)
magnetization = 2.68 μB per formula unit
E_form (uncorrected) = -27 meV/atom
calculated total energy = -6.0673 eV per atom


# CaSb2Se4

A relaxed structure of CaSb2Se4 (PBE, the Alexandria database).

Structure (POSCAR):
```
CaSb2Se4
1.0
2.043 -6.740 0.000
2.043 6.740 0.000
0.000 0.000 14.052
Ca Sb Se
2 4 8
direct
0.112 0.888 0.750
0.888 0.112 0.250
0.366 0.634 0.571
0.366 0.634 0.929
0.634 0.366 0.071
0.634 0.366 0.429
0.000 0.000 0.000
0.000 0.000 0.500
0.275 0.725 0.119
0.275 0.725 0.381
0.459 0.541 0.750
0.541 0.459 0.250
0.725 0.275 0.619
0.725 0.275 0.881
```

Properties
SG = Cmcm (63)
magnetization = 0.00 μB per formula unit
E_form (uncorrected) = -695 meV/atom
calculated total energy = -4.1502 eV per atom


# Ag2HgP

A relaxed structure of Ag2HgP (PBE, the Alexandria database).

Structure (POSCAR):
```
Ag2HgP
1.0
1.558 0.899 8.967
-1.558 0.899 8.967
0.000 -1.799 8.967
Ag Hg P
2 1 1
direct
0.000 0.000 0.000
0.249 0.249 0.249
0.755 0.755 0.755
0.511 0.511 0.511
```

Properties
SG = R3m (160)
E_form = 0.31 eV per atom
magnetization = 0.00 μB per formula unit
calculated total energy = -2.5443 eV per atom


# TlHgBr2

A relaxed structure of TlHgBr2 (PBE, the Alexandria database).

Structure (POSCAR):
```
TlHgBr2
1.0
4.055 -4.022 0.000
4.055 4.022 0.000
-1.086 0.000 3.942
Tl Hg Br
1 1 2
direct
0.000 0.000 0.000
0.500 0.500 0.000
0.000 0.500 0.500
0.500 0.000 0.500
```

Properties
SG = C2/m (12)
magnetization = 0.00 μB per formula unit
E_form (uncorrected) = -422 meV/atom
calculated total energy = -1.9253 eV per atom


# Hf2ZrNp

A relaxed structure of Hf2ZrNp (PBE, the Alexandria database).

Structure (POSCAR):
```
Hf2ZrNp
1.0
0.000 3.563 3.563
3.563 0.000 3.563
3.563 3.563 0.000
Hf Zr Np
2 1 1
direct
0.250 0.250 0.250
0.750 0.750 0.750
0.000 0.000 0.000
0.500 0.500 0.500
```

Properties
SG = Fm-3m (225)
E_form = 0.33 eV per atom
magnetization = 4.39 μB per formula unit
calculated total energy = -10.0189 eV per atom


# Sr2Al7Sn

A relaxed structure of Sr2Al7Sn (PBE, the Alexandria database).

Structure (POSCAR):
```
Sr2Al7Sn
1.0
4.589 0.000 0.000
0.000 4.589 0.000
0.000 0.000 11.176
Sr Al Sn
2 7 1
direct
0.000 0.500 0.244
0.500 0.000 0.756
0.000 0.000 0.000
0.000 0.500 0.638
0.000 0.500 0.871
0.500 0.000 0.129
0.500 0.000 0.362
0.500 0.500 0.000
0.500 0.500 0.500
0.000 0.000 0.500
```

Properties
SG = P-4m2 (115)
E_form = -0.21 eV per atom
magnetization = 0.00 μB per formula unit
calculated total energy = -3.5671 eV per atom


# Dy6Ho2S3

A relaxed structure of Dy6Ho2S3 (PBE, the Alexandria database).

Structure (POSCAR):
```
Dy6Ho2S3
1.0
1.866 1.077 24.383
-1.866 1.077 24.383
0.000 -2.155 24.383
Dy Ho S
6 2 3
direct
0.069 0.069 0.069
0.186 0.186 0.186
0.357 0.357 0.357
0.643 0.643 0.643
0.814 0.814 0.814
0.931 0.931 0.931
0.442 0.442 0.442
0.558 0.558 0.558
0.000 0.000 0.000
0.287 0.287 0.287
0.713 0.713 0.713
```

Properties
SG = R-3m (166)
magnetization = 0.00 μB per formula unit
E_form (uncorrected) = -1037 meV/atom
calculated total energy = -5.5048 eV per atom


# Pm2Tm3PuS6

A relaxed structure of Pm2Tm3PuS6 (PBE, the Alexandria database).

Structure (POSCAR):
```
Pm2Tm3PuS6
1.0
8.588 -1.944 0.000
8.588 1.944 0.000
-1.951 0.000 7.682
Pm Tm Pu S
2 3 1 6
direct
0.165 0.165 0.332
0.835 0.835 0.668
0.167 0.167 0.836
0.500 0.500 0.500
0.833 0.833 0.164
0.500 0.500 0.000
0.004 0.004 0.745
0.331 0.331 0.926
0.337 0.337 0.406
0.663 0.663 0.594
0.669 0.669 0.074
0.996 0.996 0.255
```

Properties
SG = C2/m (12)
magnetization = 5.91 μB per formula unit
E_form (uncorrected) = -1964 meV/atom
calculated total energy = -7.1318 eV per atom


# LiLaTe4

A relaxed structure of LiLaTe4 (PBE, the Alexandria database).

Structure (POSCAR):
```
LiLaTe4
1.0
0.000 4.557 4.557
4.557 0.000 4.557
4.557 4.557 0.000
Li La Te
1 1 4
direct
0.000 0.000 0.000
0.250 0.250 0.250
0.125 0.625 0.625
0.625 0.125 0.625
0.625 0.625 0.125
0.625 0.625 0.625
```

Properties
SG = F-43m (216)
magnetization = 0.00 μB per formula unit
E_form (uncorrected) = -174 meV/atom
calculated total energy = -3.4084 eV per atom


# Er4Bi2AsP

A relaxed structure of Er4Bi2AsP (PBE, the Alexandria database).

Structure (POSCAR):
```
Er4Bi2AsP
1.0
7.256 0.000 0.000
0.000 4.179 0.000
-2.406 0.000 7.052
Er Bi As P
4 2 1 1
direct
0.236 0.000 0.220
0.255 0.500 0.778
0.745 0.500 0.222
0.764 0.000 0.780
0.000 0.000 0.500
0.500 0.500 0.500
0.500 0.000 0.000
0.000 0.500 0.000
```

Properties
SG = P2/m (10)
E_form = -1.15 eV per atom
magnetization = 0.00 μB per formula unit
calculated total energy = -5.6601 eV per atom


# LaIn2Br

A relaxed structure of LaIn2Br (PBE, the Alexandria database).

Structure (POSCAR):
```
LaIn2Br
1.0
-1.848 2.942 5.664
1.848 -2.942 5.664
1.848 2.942 -5.664
La In Br
1 2 1
direct
0.000 0.000 0.000
0.493 0.493 0.000
0.739 0.239 0.500
0.212 0.712 0.500
```

Properties
SG = Imm2 (44)
magnetization = 0.00 μB per formula unit
E_form (uncorrected) = -543 meV/atom
calculated total energy = -3.5623 eV per atom


# Pm7Er3Mg

A relaxed structure of Pm7Er3Mg (PBE, the Alexandria database).

Structure (POSCAR):
```
Pm7Er3Mg
1.0
7.083 0.000 0.000
-3.542 6.134 0.000
0.000 0.000 8.622
Pm Er Mg
7 3 1
direct
0.000 0.000 0.000
0.164 0.328 0.665
0.164 0.836 0.665
0.500 0.001 0.002
0.500 0.500 0.002
0.672 0.836 0.665
0.999 0.500 0.002
0.331 0.166 0.333
0.834 0.166 0.333
0.834 0.669 0.333
0.667 0.333 0.664
```

Properties
SG = P3m1 (156)
E_form = 0.18 eV per atom
magnetization = 0.00 μB per formula unit
calculated total energy = -4.2287 eV per atom


# Te2RhBr

A relaxed structure of Te2RhBr (PBE, the Alexandria database).

Structure (POSCAR):
```
Te2RhBr
1.0
5.269 0.000 0.000
0.000 5.269 0.000
0.000 0.000 3.194
Te Rh Br
2 1 1
direct
0.000 0.500 0.000
0.500 0.000 0.000
0.000 0.000 0.500
0.500 0.500 0.500
```

Properties
SG = P4/mmm (123)
magnetization = 0.00 μB per formula unit
E_form (uncorrected) = 431 meV/atom
calculated total energy = -3.3963 eV per atom


# CaLa3Nd4

A relaxed structure of CaLa3Nd4 (PBE, the Alexandria database).

Structure (POSCAR):
```
CaLa3Nd4
1.0
5.269 0.000 0.000
0.000 10.518 0.000
0.000 0.000 10.570
Ca La Nd
2 6 8
direct
0.250 0.250 0.131
0.750 0.750 0.869
0.250 0.007 0.872
0.250 0.493 0.872
0.250 0.750 0.135
0.750 0.250 0.865
0.750 0.507 0.128
0.750 0.993 0.128
0.250 0.250 0.622
0.250 0.502 0.380
0.250 0.750 0.617
0.250 0.998 0.380
0.750 0.002 0.620
0.750 0.250 0.383
0.750 0.498 0.620
0.750 0.750 0.378
```

Properties
SG = Pmmn (59)
E_form = 0.04 eV per atom
magnetization = 0.00 μB per formula unit
calculated total energy = -4.4433 eV per atom


# Pr4In3Ru

A relaxed structure of Pr4In3Ru (PBE, the Alexandria database).

Structure (POSCAR):
```
Pr4In3Ru
1.0
3.628 0.000 0.000
0.000 3.628 0.000
0.000 0.000 16.951
Pr In Ru
4 3 1
direct
0.000 0.000 0.101
0.000 0.000 0.368
0.000 0.000 0.632
0.000 0.000 0.899
0.500 0.500 0.240
0.500 0.500 0.500
0.500 0.500 0.760
0.500 0.500 0.000
```

Properties
SG = P4/mmm (123)
E_form = -0.37 eV per atom
magnetization = 0.00 μB per formula unit
calculated total energy = -4.9502 eV per atom


# LaMoCl

A relaxed structure of LaMoCl (PBE, the Alexandria database).

Structure (POSCAR):
```
LaMoCl
1.0
0.000 3.601 3.601
3.601 0.000 3.601
3.601 3.601 0.000
La Mo Cl
1 1 1
direct
0.000 0.000 0.000
0.750 0.750 0.750
0.250 0.250 0.250
```

Properties
SG = F-43m (216)
magnetization = 4.00 μB per formula unit
E_form (uncorrected) = 724 meV/atom
calculated total energy = -5.1448 eV per atom


# CsTi2OsW

A relaxed structure of CsTi2OsW (PBE, the Alexandria database).

Structure (POSCAR):
```
CsTi2OsW
1.0
4.738 0.000 0.000
0.000 4.738 0.000
0.000 0.000 4.907
Cs Ti Os W
1 2 1 1
direct
0.000 0.000 0.000
0.000 0.500 0.000
0.500 0.000 0.000
0.500 0.500 0.500
0.000 0.000 0.500
```

Properties
SG = P4/mmm (123)
E_form = 3.12 eV per atom
magnetization = 0.00 μB per formula unit
calculated total energy = -5.0484 eV per atom


# MgPb2W

A relaxed structure of MgPb2W (PBE, the Alexandria database).

Structure (POSCAR):
```
MgPb2W
1.0
5.049 0.000 0.000
0.000 1.609 5.525
0.000 -1.609 5.525
Mg Pb W
1 2 1
direct
0.000 0.000 0.000
0.000 0.268 0.268
0.500 0.595 0.595
0.500 0.868 0.868
```

Properties
SG = Amm2 (38)
E_form = 0.67 eV per atom
magnetization = 0.00 μB per formula unit
calculated total energy = -4.8251 eV per atom


# BeTe2P

A relaxed structure of BeTe2P (PBE, the Alexandria database).

Structure (POSCAR):
```
BeTe2P
1.0
3.682 0.000 0.000
0.000 3.686 0.000
0.000 0.000 8.781
Be Te P
1 2 1
direct
0.000 0.000 0.000
0.000 0.500 0.500
0.500 0.500 0.000
0.500 0.000 0.500
```

Properties
SG = Pmmm (47)
magnetization = 0.00 μB per formula unit
E_form (uncorrected) = 503 meV/atom
calculated total energy = -3.3519 eV per atom


# LaPuCuHg

A relaxed structure of LaPuCuHg (PBE, the Alexandria database).

Structure (POSCAR):
```
LaPuCuHg
1.0
0.000 3.736 3.736
3.736 0.000 3.736
3.736 3.736 0.000
La Pu Cu Hg
1 1 1 1
direct
0.000 0.000 0.000
0.500 0.500 0.500
0.750 0.750 0.750
0.250 0.250 0.250
```

Properties
SG = F-43m (216)
E_form = -0.08 eV per atom
magnetization = 6.18 μB per formula unit
calculated total energy = -5.9912 eV per atom


# Mg3CrSi

A relaxed structure of Mg3CrSi (PBE, the Alexandria database).

Structure (POSCAR):
```
Mg3CrSi
1.0
5.097 0.000 0.000
0.000 5.097 0.000
0.000 0.000 5.097
Mg Cr Si
3 1 1
direct
0.000 0.000 0.500
0.000 0.500 0.000
0.500 0.000 0.000
0.000 0.000 0.000
0.500 0.500 0.500
```

Properties
SG = Pm-3m (221)
magnetization = 3.93 μB per formula unit
E_form (uncorrected) = 1038 meV/atom
calculated total energy = -2.9279 eV per atom


# ScNiB4

A relaxed structure of ScNiB4 (PBE, the Alexandria database).

Structure (POSCAR):
```
ScNiB4
1.0
5.793 0.000 0.000
0.000 11.224 0.000
0.000 0.000 3.256
Sc Ni B
4 4 16
direct
0.127 0.151 0.000
0.373 0.651 0.000
0.627 0.349 0.000
0.873 0.849 0.000
0.135 0.412 0.000
0.365 0.912 0.000
0.635 0.088 0.000
0.865 0.588 0.000
0.020 0.694 0.500
0.116 0.549 0.500
0.134 0.968 0.500
0.211 0.813 0.500
0.289 0.313 0.500
0.366 0.468 0.500
0.384 0.049 0.500
0.480 0.194 0.500
0.520 0.806 0.500
0.616 0.951 0.500
0.634 0.532 0.500
0.711 0.687 0.500
0.789 0.187 0.500
0.866 0.032 0.500
0.884 0.451 0.500
0.980 0.306 0.500
```

Properties
SG = Pbam (55)
E_form = -0.57 eV per atom
magnetization = 0.00 μB per formula unit
calculated total energy = -7.0371 eV per atom


# Tm2Ti2ZnRh5

A relaxed structure of Tm2Ti2ZnRh5 (PBE, the Alexandria database).

Structure (POSCAR):
```
Tm2Ti2ZnRh5
1.0
10.260 0.000 0.000
0.000 10.260 0.000
0.000 0.000 3.257
Tm Ti Zn Rh
4 4 2 10
direct
0.173 0.327 0.000
0.327 0.827 0.000
0.673 0.173 0.000
0.827 0.673 0.000
0.131 0.631 0.000
0.369 0.131 0.000
0.631 0.869 0.000
0.869 0.369 0.000
0.000 0.000 0.000
0.500 0.500 0.000
0.000 0.500 0.500
0.058 0.801 0.500
0.199 0.058 0.500
0.301 0.558 0.500
0.442 0.301 0.500
0.500 0.000 0.500
0.558 0.699 0.500
0.699 0.442 0.500
0.801 0.942 0.500
0.942 0.199 0.500
```

Properties
SG = P4/mbm (127)
E_form = -0.61 eV per atom
magnetization = 0.00 μB per formula unit
calculated total energy = -6.8816 eV per atom